This record from Alexandria describes a relaxed Ac3RuBr crystal. The functional is GGA-PBE.

For the density of states at the Fermi level, the calculation gives 1.26 states/eV per atom. For the uncorrected formation energy, the calculation gives -347.0 meV/atom. The value obtained for the volume is 38.92 A^3/atom. Its energy is -5.002 eV/atom.

The structure belongs to space group Pm-3m (No. 221); the cell edges are 5.795, 5.795 and 5.795 Å and the angles 90.00°, 90.00° and 90.00°. Symmetry generates all atoms from Ac at (0.000, 0.000, 0.500), Ru at (0.000, 0.000, 0.000) and Br at (0.500, 0.500, 0.500).

---

This record from Alexandria describes a relaxed ZrMo3H crystal. The functional is GGA-PBE.

For the density of states at the Fermi level, the calculation gives 1.14 states/eV per atom. The value obtained for the volume is 22.61 A^3/atom. Its energy is -6.080 eV/atom.

The structure belongs to space group Pm-3m (No. 221); the cell edges are 4.836, 4.836 and 4.836 Å and the angles 90.00°, 90.00° and 90.00°. Symmetry generates all atoms from Zr at (0.000, 0.000, 0.000), Mo at (0.000, 0.000, 0.500) and H at (0.500, 0.500, 0.500).

---

This record from Alexandria describes a relaxed ScCd2Ni2 crystal. The functional is GGA-PBE.

The formation energy from the elements comes out at 0.00 eV per atom. For the density of states at the Fermi level, the calculation gives 0.79 states/eV per atom. The value obtained for the volume is 17.12 A^3/atom. Its energy is -3.945 eV/atom.

The structure belongs to space group P4/mbm (No. 127); the cell edges are 7.629, 7.629 and 2.942 Å and the angles 90.00°, 90.00° and 90.00°. Symmetry generates all atoms from Sc at (0.000, 0.000, 0.000), Cd at (0.129, 0.371, 0.000) and Ni at (0.172, 0.672, 0.500).

---

This record from Alexandria describes a relaxed SnPt2S crystal. The functional is GGA-PBE.

For the density of states at the Fermi level, the calculation gives 0.17 states/eV per atom. For the uncorrected formation energy, the calculation gives -281.8 meV/atom. The value obtained for the volume is 21.81 A^3/atom. Its energy is -5.335 eV/atom.

The structure belongs to space group I-42d (No. 122); the cell edges are 4.998, 4.998 and 13.971 Å and the angles 90.00°, 90.00° and 90.00°. Symmetry generates all atoms from Sn at (0.000, 0.000, 0.000), Pt at (0.156, 0.250, 0.625) and S at (0.000, 0.000, 0.500).

---

This record from Alexandria describes a relaxed Pm2NdTe3 crystal. The functional is GGA-PBE.

For the density of states at the Fermi level, the calculation gives 0.49 states/eV per atom. For the uncorrected formation energy, the calculation gives -1411.9 meV/atom. The value obtained for the volume is 31.72 A^3/atom. Its energy is -5.361 eV/atom.

The structure belongs to space group Immm (No. 71); the cell edges are 4.501, 6.315 and 13.393 Å and the angles 90.00°, 90.00° and 90.00°. Symmetry generates all atoms from Pm at (0.000, 0.000, 0.164), Nd at (0.000, 0.000, 0.500), Te at (0.000, 0.500, 0.169) and Te at (0.000, 0.500, 0.500).

---

This record from Alexandria describes a relaxed Rb2Pu3O6 crystal. The functional is GGA-PBE.

For the density of states at the Fermi level, the calculation gives 1.58 states/eV per atom. For the uncorrected formation energy, the calculation gives -2594.7 meV/atom. The value obtained for the volume is 19.87 A^3/atom. Its energy is -9.384 eV/atom.

The structure belongs to space group C2/m (No. 12); the cell edges are 6.149, 10.642 and 6.983 Å and the angles 90.00°, 106.95° and 90.00°. Symmetry generates all atoms from Rb at (0.000, 0.167, 0.000), Pu at (0.000, 0.000, 0.500), Pu at (0.000, 0.335, 0.500), O at (0.218, 0.170, 0.664) and O at (0.228, 0.500, 0.664).

---

This record from Alexandria describes a relaxed Th3Hg2Bi crystal. The functional is GGA-PBE.

The formation energy from the elements comes out at -0.30 eV per atom. For the density of states at the Fermi level, the calculation gives 1.20 states/eV per atom. The value obtained for the volume is 28.74 A^3/atom. Its energy is -4.756 eV/atom.

The structure belongs to space group Cmmm (No. 65); the cell edges are 5.020, 15.330 and 4.482 Å and the angles 90.00°, 90.00° and 90.00°. Symmetry generates all atoms from Th at (0.000, 0.000, 0.000), Th at (0.000, 0.332, 0.000), Hg at (0.000, 0.174, 0.500) and Bi at (0.000, 0.500, 0.500).

---

This record from Alexandria describes a relaxed TlPb2N2 crystal. The functional is GGA-PBE.

For the density of states at the Fermi level, the calculation gives 0.64 states/eV per atom. For the uncorrected formation energy, the calculation gives 735.2 meV/atom. The value obtained for the volume is 22.75 A^3/atom. Its energy is -4.552 eV/atom.

The structure belongs to space group P-3m1 (No. 164); the cell edges are 3.9521, 3.9521 and 8.4095 Å and the angles 90.00°, 90.00° and 120.00°. Symmetry generates all atoms from Tl at (0.0000, 0.0000, 0.0000), Pb at (0.3333, 0.6667, 0.6706) and N at (0.3333, 0.6667, 0.3892).

---

This record from Alexandria describes a relaxed VTc3Te crystal. The functional is GGA-PBE.

For the density of states at the Fermi level, the calculation gives 1.42 states/eV per atom. For the uncorrected formation energy, the calculation gives 1188.8 meV/atom. The value obtained for the volume is 18.67 A^3/atom. Its energy is -7.483 eV/atom.

The structure belongs to space group Pm-3m (No. 221); the cell edges are 4.536, 4.536 and 4.536 Å and the angles 90.00°, 90.00° and 90.00°. Symmetry generates all atoms from V at (0.000, 0.000, 0.000), Tc at (0.000, 0.000, 0.500) and Te at (0.500, 0.500, 0.500).

---

This record from Alexandria describes a relaxed Cs2NiTe4Pd crystal. The functional is GGA-PBE.

For the density of states at the Fermi level, the calculation gives 0.78 states/eV per atom. For the uncorrected formation energy, the calculation gives -486.6 meV/atom. The value obtained for the volume is 36.05 A^3/atom. Its energy is -3.643 eV/atom.

The structure belongs to space group Fddd (No. 70, origin choice 2); the cell edges are 6.555, 13.924 and 25.277 Å and the angles 90.00°, 90.00° and 90.00°. Symmetry generates all atoms from Cs at (0.125, 0.125, 0.313), Ni at (0.125, 0.125, 0.625), Te at (0.104, 0.290, 0.813) and Pd at (0.125, 0.125, 0.125).

---

This record from Alexandria describes a relaxed La2Nd12Ho crystal. The functional is GGA-PBE.

The formation energy from the elements comes out at 0.30 eV per atom. For the density of states at the Fermi level, the calculation gives 1.43 states/eV per atom. The value obtained for the volume is 37.58 A^3/atom. Its energy is -4.477 eV/atom.

The structure belongs to space group P4/nbm (No. 125, origin choice 2); the cell edges are 6.640, 6.640 and 25.571 Å and the angles 90.00°, 90.00° and 90.00°. Symmetry generates all atoms from La at (0.250, 0.750, 0.236), Nd at (0.062, 0.562, 0.388), Nd at (0.082, 0.582, 0.938), Nd at (0.250, 0.250, 0.162), Nd at (0.250, 0.250, 0.286) and Ho at (0.250, 0.750, 0.500).

---

This record from Alexandria describes a relaxed LiTePb2 crystal. The functional is GGA-PBE.

For the density of states at the Fermi level, the calculation gives 0.50 states/eV per atom. For the uncorrected formation energy, the calculation gives -66.7 meV/atom. The value obtained for the volume is 29.67 A^3/atom. Its energy is -3.185 eV/atom.

The structure belongs to space group R-3m (No. 166, hexagonal axes); the cell edges are 4.2291, 4.2291 and 22.9858 Å and the angles 90.00°, 90.00° and 120.00°. Symmetry generates all atoms from Li at (0.0000, 0.0000, 0.0000), Te at (0.0000, 0.0000, 0.5000) and Pb at (0.0000, 0.0000, 0.2557).

---

This record from Alexandria describes a relaxed BaMnW2S8 crystal. The functional is GGA-PBE.

For the uncorrected formation energy, the calculation gives -722.8 meV/atom. The value obtained for the volume is 24.75 A^3/atom. Its energy is -6.558 eV/atom.

The structure belongs to space group R-3 (No. 148, hexagonal axes); the cell edges are 6.1982, 6.1982 and 26.7818 Å and the angles 90.00°, 90.00° and 120.00°. Symmetry generates all atoms from Ba at (0.0000, 0.0000, 0.0000), Mn at (0.0000, 0.0000, 0.5000), W at (0.0000, 0.0000, 0.2486), S at (0.0000, 0.0000, 0.3308) and S at (0.0016, 0.3408, 0.7764).

---

This record from Alexandria describes a relaxed La3BeTc crystal. The functional is GGA-PBE.

The formation energy from the elements comes out at 0.36 eV per atom. For the density of states at the Fermi level, the calculation gives 1.37 states/eV per atom. The value obtained for the volume is 32.00 A^3/atom. Its energy is -5.411 eV/atom.

The structure belongs to space group Pm-3m (No. 221); the cell edges are 5.429, 5.429 and 5.429 Å and the angles 90.00°, 90.00° and 90.00°. Symmetry generates all atoms from La at (0.000, 0.000, 0.500), Be at (0.500, 0.500, 0.500) and Tc at (0.000, 0.000, 0.000).

---

This record from Alexandria describes a relaxed Dy6TmMg crystal. The functional is GGA-PBE.

The formation energy from the elements comes out at 0.04 eV per atom. For the density of states at the Fermi level, the calculation gives 1.41 states/eV per atom. The value obtained for the volume is 30.45 A^3/atom. Its energy is -4.174 eV/atom.

The structure belongs to space group C2/m (No. 12); the cell edges are 11.649, 5.309 and 8.530 Å and the angles 90.00°, 112.54° and 90.00°. Symmetry generates all atoms from Dy at (0.008, 0.000, 0.228), Dy at (0.224, 0.500, 0.880), Dy at (0.250, 0.000, 0.642), Tm at (0.000, 0.500, 0.500) and Mg at (0.000, 0.500, 0.000).

---

This record from Alexandria describes a relaxed Pr4Sm10Er crystal. The functional is GGA-PBE.

The formation energy from the elements comes out at 0.32 eV per atom. For the density of states at the Fermi level, the calculation gives 1.39 states/eV per atom. The value obtained for the volume is 35.01 A^3/atom. Its energy is -4.400 eV/atom.

The structure belongs to space group I4/m (No. 87); the cell edges are 9.942, 9.942 and 10.625 Å and the angles 90.00°, 90.00° and 90.00°. Symmetry generates all atoms from Pr at (0.061, 0.671, 0.000), Sm at (0.000, 0.500, 0.250), Sm at (0.114, 0.793, 0.338) and Er at (0.000, 0.000, 0.000).

---

This record from Alexandria describes a relaxed NaScZnMo2 crystal. The functional is GGA-PBE.

The formation energy from the elements comes out at 1.28 eV per atom. For the density of states at the Fermi level, the calculation gives 1.48 states/eV per atom. The value obtained for the volume is 21.22 A^3/atom. Its energy is -4.837 eV/atom.

The structure belongs to space group P4/mmm (No. 123); the cell edges are 4.731, 4.731 and 4.741 Å and the angles 90.00°, 90.00° and 90.00°. Symmetry generates all atoms from Na at (0.000, 0.000, 0.000), Sc at (0.500, 0.500, 0.000), Zn at (0.000, 0.000, 0.500) and Mo at (0.000, 0.500, 0.500).

---

This record from Alexandria describes a relaxed InReRu2 crystal. The functional is GGA-PBE.

The formation energy from the elements comes out at 0.44 eV per atom. For the density of states at the Fermi level, the calculation gives 1.33 states/eV per atom. The value obtained for the volume is 15.96 A^3/atom. Its energy is -7.992 eV/atom.

The structure belongs to space group Cmmm (No. 65); the cell edges are 2.958, 4.782 and 9.029 Å and the angles 90.00°, 90.00° and 90.00°. Symmetry generates all atoms from In at (0.000, 0.000, 0.000), Re at (0.000, 0.000, 0.500) and Ru at (0.000, 0.500, 0.261).

---

This record from Alexandria describes a relaxed LiCd8Bi2 crystal. The functional is GGA-PBE.

The formation energy from the elements comes out at 0.03 eV per atom. For the density of states at the Fermi level, the calculation gives 0.42 states/eV per atom. The value obtained for the volume is 27.46 A^3/atom. Its energy is -1.515 eV/atom.

The structure belongs to space group C2/m (No. 12); the cell edges are 11.847, 9.564 and 6.067 Å and the angles 90.00°, 118.50° and 90.00°. Symmetry generates all atoms from Li at (0.000, 0.000, 0.000), Cd at (0.042, 0.500, 0.307), Cd at (0.144, 0.267, 0.104), Cd at (0.232, 0.500, 0.874) and Bi at (0.172, 0.000, 0.532).

---

This record from Alexandria describes a relaxed Rb2CoAs2 crystal. The functional is GGA-PBE.

The formation energy from the elements comes out at -0.05 eV per atom. For the density of states at the Fermi level, the calculation gives 0.48 states/eV per atom. The value obtained for the volume is 24.07 A^3/atom. Its energy is -3.715 eV/atom.

The structure belongs to space group P4/mbm (No. 127); the cell edges are 6.392, 6.392 and 5.891 Å and the angles 90.00°, 90.00° and 90.00°. Symmetry generates all atoms from Rb at (0.177, 0.323, 0.000), Co at (0.000, 0.000, 0.500) and As at (0.145, 0.645, 0.500).

---

no.,size of the total moment (μB per cell)
1,0.46
2,0.00
3,0.46
4,0.00
5,0.00
6,28.00
7,0.00
8,0.00
9,0.92
10,0.00
11,0.00
12,0.00
13,15.00
14,0.00
15,0.00
16,0.00
17,0.00
18,0.03
19,0.00
20,1.93